Entry 1:
Fe3P | Alexandria via LeMat-Bulk | PBEsol | optimized geometry; DFT formation energy = -414 meV/atom; E above lowest polymorph = 0 meV per atom
1.0
-4.441 4.441 2.156
4.441 -4.441 2.156
4.441 4.441 -2.156
Fe P
12 4
direct
0.060 0.376 0.472 Fe
0.099 0.207 0.831 Fe
0.214 0.665 0.892 Fe
0.335 0.227 0.549 Fe
0.376 0.268 0.169 Fe
0.411 0.940 0.316 Fe
0.624 0.095 0.684 Fe
0.678 0.786 0.451 Fe
0.732 0.901 0.108 Fe
0.773 0.322 0.108 Fe
0.793 0.624 0.892 Fe
0.905 0.589 0.528 Fe
0.214 0.467 0.165 P
0.302 0.048 0.835 P
0.533 0.698 0.747 P
0.952 0.786 0.253 P

Entry 2:
CaCrW2 | Alexandria via LeMat-Bulk | PBEsol | optimized geometry; DFT formation energy = 996 meV/atom; E above lowest polymorph = 82 meV per atom
1.0
2.658 -4.775 0.000
2.658 4.775 0.000
0.000 0.000 2.621
Ca Cr W
1 1 2
direct
0.000 0.000 0.000 Ca
0.500 0.500 0.000 Cr
0.000 0.500 0.500 W
0.500 0.000 0.500 W

Entry 3:
LiHRu3 | Alexandria via LeMat-Bulk | PBEsol | optimized geometry; electronic total energy = -25.70 eV per formula unit
1.0
3.978 0.000 0.000
0.000 3.978 0.000
0.000 0.000 3.978
Li H Ru
1 1 3
direct
0.000 0.000 0.000 Li
0.500 0.500 0.500 H
0.000 0.000 0.500 Ru
0.000 0.500 0.000 Ru
0.500 0.000 0.000 Ru

Entry 4:
Zn3CrI | Alexandria via LeMat-Bulk | PBEsol | optimized geometry; formation energy (no corrections) = 688 meV/atom
1.0
5.009 0.000 0.000
0.000 5.009 0.000
0.000 0.000 5.009
Zn Cr I
3 1 1
direct
0.000 0.000 0.500 Zn
0.000 0.500 0.000 Zn
0.500 0.000 0.000 Zn
0.000 0.000 0.000 Cr
0.500 0.500 0.500 I

no.,total moment (μB per formula unit)
1,5.180
2,1.371
3,1.855
4,4.778